Here is an optimized crystal structure of CsGaSe3 from the Alexandria database. Energies are from PBE-GGA.

Unit cell a=13.2873 b=6.9776 c=7.9258 alpha=75.66 beta=90.00 gamma=90.00
Closest atoms and distances in Å follow each position.
Fractional coordinates of all 20 atoms:
1 Se 0.8232 0.6533 0.0083  2 Ga 2.42-2.44
2 Se 0.1768 0.3467 0.9917  2 Ga 2.42-2.44
3 Se 0.5794 0.6434 0.2994  1 Se 2.40, 1 Ga 2.45
4 Se 0.6768 0.1533 0.0083  2 Ga 2.42-2.44
5 Se 0.6732 0.3558 0.4434  1 Se 2.40, 1 Ga 2.46
6 Se 0.9206 0.1434 0.2994  1 Se 2.40, 1 Ga 2.45
7 Se 0.3232 0.8467 0.9917  2 Ga 2.42-2.44
8 Se 0.3268 0.6442 0.5566  1 Se 2.40, 1 Ga 2.46
9 Se 0.1732 0.1442 0.5566  1 Se 2.40, 1 Ga 2.46
10 Se 0.0794 0.8566 0.7006  1 Se 2.40, 1 Ga 2.45
11 Se 0.4206 0.3566 0.7006  1 Se 2.40, 1 Ga 2.45
12 Se 0.8268 0.8558 0.4434  1 Se 2.40, 1 Ga 2.46
13 Ga 0.2702 0.1652 0.8153  4 Se 2.42-2.46
14 Ga 0.7702 0.3348 0.1847  4 Se 2.42-2.46
15 Ga 0.7298 0.8348 0.1847  4 Se 2.42-2.46
16 Ga 0.2298 0.6652 0.8153  4 Se 2.42-2.46
17 Cs 0.9207 0.2829 0.7487  7 Se 3.74-4.04, 1 Ga 4.08
18 Cs 0.5793 0.7829 0.7487  7 Se 3.74-4.04, 1 Ga 4.08
19 Cs 0.4207 0.2171 0.2513  7 Se 3.74-4.04, 1 Ga 4.08
20 Cs 0.0793 0.7171 0.2513  7 Se 3.74-4.04, 1 Ga 4.08

**Crystal system**: monoclinic
**Spin magnetization**: 0.0 Bohr magnetons per cell
**Relative energy among the computed polymorphs**: 0.000 eV/atom
**Uncorrected formation energy**: -4.0 eV per formula unit

---

Here is an optimized crystal structure of FeTcC2I from the Alexandria database. Energies are from PBE-GGA.

Unit cell a=3.9478 b=5.7950 c=3.9478 alpha=90.00 beta=90.00 gamma=90.00
Closest atoms and distances in Å follow each position.
Fractional coordinates of all 5 atoms:
1 C 0.0000 0.0000 0.5000  2 Tc 1.97
2 C 0.5000 0.0000 0.0000  2 Tc 1.97
3 Tc 0.0000 0.0000 0.0000  4 C 1.97
4 I 0.0000 0.5000 0.0000  4 Fe 2.79, 2 Tc 2.90
5 Fe 0.5000 0.5000 0.5000  4 I 2.79

**Crystal system**: tetragonal
**Spin magnetization**: 2.9 Bohr magnetons per cell
**Relative energy among the computed polymorphs**: 0.017 eV/atom
**Uncorrected formation energy**: 8.3 eV per formula unit

---

Here is an optimized crystal structure of La2PmRuN4 from the Alexandria database. Energies are from PBE-GGA.

Unit cell a=3.5188 b=6.3039 c=12.3718 alpha=90.00 beta=90.00 gamma=106.21
Closest atoms and distances in Å follow each position.
Fractional coordinates of all 16 atoms:
1 N 0.0000 0.0000 0.0000  4 La 2.44
2 N 0.0000 0.0000 0.5000  4 La 2.44
3 N 0.7240 0.4480 0.8602  1 Ru 2.05
4 N 0.4292 0.8584 0.7500  2 Ru 2.00
5 N 0.7240 0.4480 0.6398  1 Ru 2.05
6 N 0.2760 0.5520 0.3602  1 Ru 2.05
7 N 0.2760 0.5520 0.1398  1 Ru 2.05
8 N 0.5708 0.1416 0.2500  2 Ru 2.00
9 Ru 0.1495 0.2990 0.2500  4 N 2.00-2.05
10 Ru 0.8505 0.7010 0.7500  4 N 2.00-2.05
11 Pm 0.8778 0.7556 0.2500  4 N 2.54
12 Pm 0.1222 0.2444 0.7500  4 N 2.54
13 La 0.3677 0.7354 0.9572  4 N 2.44-2.67
14 La 0.3677 0.7354 0.5428  4 N 2.44-2.67
15 La 0.6323 0.2646 0.0428  4 N 2.44-2.67
16 La 0.6323 0.2646 0.4572  4 N 2.44-2.67

**Crystal system**: orthorhombic
**Spin magnetization**: 0.0 Bohr magnetons per cell
**Uncorrected formation energy**: -6.7 eV per formula unit

---

Here is an optimized crystal structure of TmScPt4 from the Alexandria database. Energies are from PBE-GGA.

Unit cell a=5.3637 b=5.3637 c=5.3637 alpha=60.00 beta=60.00 gamma=60.00
Closest atoms and distances in Å follow each position.
Fractional coordinates of all 6 atoms:
1 Pt 0.6249 0.6249 0.6249  6 Pt 2.68
2 Pt 0.1253 0.6249 0.6249  6 Pt 2.68
3 Pt 0.6249 0.1253 0.6249  6 Pt 2.68
4 Pt 0.6249 0.6249 0.1253  6 Pt 2.68
5 Sc 0.2500 0.2500 0.2500  12 Pt 3.14, 4 Tm 3.28
6 Tm 0.0000 0.0000 0.0000  12 Pt 3.14, 4 Sc 3.28

**Crystal system**: cubic
**Spin magnetization**: 0.0 Bohr magnetons per cell
**Formation energy**: -1.05 eV/atom
**Relative energy among the computed polymorphs**: 0.000 eV/atom

---

Here is an optimized crystal structure of TaW4 from the Alexandria database. Energies are from PBE-GGA.

Unit cell a=3.2101 b=5.3169 c=5.3169 alpha=95.23 beta=107.57 gamma=72.43
Closest atoms and distances in Å follow each position.
Fractional coordinates of all 5 atoms:
1 W 0.1972 0.2017 0.5962  6 W 2.76-2.78, 2 Ta 2.80
2 W 0.8028 0.7983 0.4038  6 W 2.76-2.78, 2 Ta 2.80
3 W 0.3989 0.4038 0.2017  6 W 2.76-2.78, 2 Ta 2.80
4 W 0.6011 0.5962 0.7983  6 W 2.76-2.78, 2 Ta 2.80
5 Ta 0.0000 0.0000 0.0000  8 W 2.80

**Crystal system**: tetragonal
**Spin magnetization**: 0.0 Bohr magnetons per cell
**Formation energy**: -0.09 eV/atom
**Relative energy among the computed polymorphs**: 0.000 eV/atom

---

Here is an optimized crystal structure of La3BiN from the Alexandria database. Energies are from PBE-GGA.

Unit cell a=7.2103 b=7.2065 c=6.0053 alpha=90.00 beta=90.00 gamma=120.02
Closest atoms and distances in Å follow each position.
Fractional coordinates of all 10 atoms:
1 La 0.7320 0.0391 0.8527  2 N 2.52
2 La 0.4073 0.8768 0.3528  2 N 2.52
3 La 0.4077 0.3645 0.3527  2 N 2.52
4 La 0.8948 0.3645 0.3527  2 N 2.52
5 La 0.7324 0.5268 0.8527  2 N 2.52
6 La 0.2449 0.0391 0.8527  2 N 2.52
7 Bi 0.2364 0.5348 0.8527  12 La 3.60-3.68
8 Bi 0.9033 0.8688 0.3527  12 La 3.60-3.68
9 N 0.5698 0.2018 0.6027  6 La 2.52
10 N 0.5698 0.2018 0.1027  6 La 2.52

**Crystal system**: hexagonal
**Spin magnetization**: 0.0 Bohr magnetons per cell
**Uncorrected formation energy**: -5.0 eV per formula unit

---

Here is an optimized crystal structure of Na3Th2PaTe6 from the Alexandria database. Energies are from PBE-GGA.

Unit cell a=7.5487 b=7.5487 c=8.2788 alpha=98.73 beta=98.73 gamma=119.98
Closest atoms and distances in Å follow each position.
Fractional coordinates of all 12 atoms:
1 Te 0.0809 0.4098 0.2436  1 Pa 3.14, 2 Th 3.18, 3 Na 3.21-3.23
2 Te 0.9191 0.5902 0.7564  1 Pa 3.14, 2 Th 3.18, 3 Na 3.21-3.23
3 Te 0.7531 0.7531 0.2444  1 Pa 3.14, 2 Th 3.18, 3 Na 3.23-3.25
4 Te 0.5902 0.9191 0.7564  1 Pa 3.14, 2 Th 3.18, 3 Na 3.21-3.23
5 Te 0.2469 0.2469 0.7556  1 Pa 3.14, 2 Th 3.18, 3 Na 3.23-3.25
6 Te 0.4098 0.0809 0.2436  1 Pa 3.14, 2 Th 3.18, 3 Na 3.21-3.23
7 Na 0.8310 0.1690 0.5000  6 Te 3.21-3.23
8 Na 0.1690 0.8310 0.5000  6 Te 3.21-3.23
9 Na 0.5000 0.5000 0.5000  6 Te 3.22-3.25
10 Pa 0.0000 0.0000 0.0000  6 Te 3.14
11 Th 0.6662 0.3338 0.0000  6 Te 3.18
12 Th 0.3338 0.6662 0.0000  6 Te 3.18

**Crystal system**: monoclinic
**Spin magnetization**: 2.1 Bohr magnetons per cell
**Uncorrected formation energy**: -12.1 eV per formula unit

---

Here is an optimized crystal structure of Be2SiPb from the Alexandria database. Energies are from PBE-GGA.

Unit cell a=4.4172 b=4.4172 c=7.9277 alpha=73.82 beta=73.82 gamma=90.00
Closest atoms and distances in Å follow each position.
Fractional coordinates of all 8 atoms:
1 Be 0.3750 0.5145 0.7500  2 Si 2.19, 2 Be 2.41
2 Be 0.8750 0.7355 0.7500  2 Si 2.19, 2 Be 2.41
3 Be 0.2645 0.6250 0.2500  2 Si 2.19, 2 Be 2.41
4 Be 0.4855 0.1250 0.2500  2 Si 2.19, 2 Be 2.41
5 Pb 0.7500 0.2500 0.5000  4 Be 2.74
6 Pb 0.0000 0.0000 0.0000  4 Be 2.74
7 Si 0.2500 0.7500 0.5000  4 Be 2.19
8 Si 0.5000 0.5000 0.0000  4 Be 2.19

**Crystal system**: tetragonal
**Spin magnetization**: 0.0 Bohr magnetons per cell
**Relative energy among the computed polymorphs**: 0.190 eV/atom
**Uncorrected formation energy**: 1.8 eV per formula unit

---

Here is an optimized crystal structure of KIn2Pb8 from the Alexandria database. Energies are from PBE-GGA.

Unit cell a=6.6160 b=6.6160 c=10.0950 alpha=90.00 beta=90.00 gamma=90.00
Closest atoms and distances in Å follow each position.
Fractional coordinates of all 11 atoms:
1 Pb 0.7524 0.2476 0.2115  2 In 3.17, 4 Pb 3.28-3.34
2 Pb 0.2476 0.2476 0.2115  2 In 3.17, 4 Pb 3.28-3.34
3 Pb 0.2476 0.7524 0.2115  2 In 3.17, 4 Pb 3.28-3.34
4 Pb 0.2476 0.2476 0.7885  2 In 3.17, 4 Pb 3.28-3.34
5 Pb 0.7524 0.7524 0.2115  2 In 3.17, 4 Pb 3.28-3.34
6 Pb 0.2476 0.7524 0.7885  2 In 3.17, 4 Pb 3.28-3.34
7 Pb 0.7524 0.2476 0.7885  2 In 3.17, 4 Pb 3.28-3.34
8 Pb 0.7524 0.7524 0.7885  2 In 3.17, 4 Pb 3.28-3.34
9 In 0.5000 0.0000 0.0000  8 Pb 3.17
10 In 0.0000 0.5000 0.0000  8 Pb 3.17
11 K 0.5000 0.5000 0.5000  8 Pb 3.75

**Crystal system**: tetragonal
**Spin magnetization**: 0.0 Bohr magnetons per cell
**Formation energy**: 0.14 eV/atom

---

Here is an optimized crystal structure of RbAsICl2 from the Alexandria database. Energies are from PBE-GGA.

Unit cell a=5.2960 b=5.2960 c=5.8020 alpha=90.00 beta=90.00 gamma=90.00
Closest atoms and distances in Å follow each position.
Fractional coordinates of all 5 atoms:
1 I 0.0000 0.0000 0.5000  2 As 2.90
2 Cl 0.0000 0.5000 0.0000  2 As 2.65
3 Cl 0.5000 0.0000 0.0000  2 As 2.65
4 Rb 0.5000 0.5000 0.5000  4 I 3.74, 8 Cl 3.93
5 As 0.0000 0.0000 0.0000  4 Cl 2.65, 2 I 2.90

**Crystal system**: tetragonal
**Spin magnetization**: 0.0 Bohr magnetons per cell
**Uncorrected formation energy**: -4.3 eV per formula unit

---

Here is an optimized crystal structure of Dy3Ho2Er6Tm from the Alexandria database. Energies are from PBE-GGA.

Unit cell a=6.0730 b=6.0730 c=11.6221 alpha=94.98 beta=94.98 gamma=119.93
Closest atoms and distances in Å follow each position.
Fractional coordinates of all 12 atoms:
1 Dy 0.8334 0.1666 0.5000  6 Dy 3.50-3.51, 6 Er 3.51-3.52
2 Dy 0.5000 0.5000 0.5000  6 Dy 3.51, 6 Er 3.51
3 Dy 0.1666 0.8334 0.5000  6 Dy 3.50-3.51, 6 Er 3.51-3.52
4 Er 0.2500 0.2500 0.7508  1 Tm 3.50, 2 Ho 3.50, 6 Er 3.51, 3 Dy 3.51
5 Er 0.0831 0.4163 0.2491  2 Ho 3.50, 1 Tm 3.50, 6 Er 3.50-3.51, 3 Dy 3.51-3.52
6 Er 0.4163 0.0831 0.2491  2 Ho 3.50, 1 Tm 3.50, 6 Er 3.50-3.51, 3 Dy 3.51-3.52
7 Er 0.7500 0.7500 0.2492  1 Tm 3.50, 2 Ho 3.50, 6 Er 3.51, 3 Dy 3.51
8 Er 0.9169 0.5837 0.7509  2 Ho 3.50, 1 Tm 3.50, 6 Er 3.50-3.51, 3 Dy 3.51-3.52
9 Er 0.5837 0.9169 0.7509  2 Ho 3.50, 1 Tm 3.50, 6 Er 3.50-3.51, 3 Dy 3.51-3.52
10 Ho 0.3334 0.6666 0.0000  6 Er 3.50, 3 Ho 3.50-3.51, 3 Tm 3.51
11 Ho 0.6666 0.3334 0.0000  6 Er 3.50, 3 Ho 3.50-3.51, 3 Tm 3.51
12 Tm 0.0000 0.0000 0.0000  6 Er 3.50, 6 Ho 3.51

**Crystal system**: monoclinic
**Spin magnetization**: 0.0 Bohr magnetons per cell
**Formation energy**: 0.02 eV/atom

---

| no. | ρ (g/cm3) |
| --- | --- |
| 1 | 4.1 |
| 2 | 5.6 |
| 3 | 7.3 |
| 4 | 15.1 |
| 5 | 18.4 |
| 6 | 7.9 |
| 7 | 6.5 |
| 8 | 5.9 |
| 9 | 7.2 |
| 10 | 3.7 |
| 11 | 9.0 |